AlPO6 | the Alexandria database | PBE | optimized geometry; SG = Fm-3m, No. 225; VASP energy = -6.128 eV/atom; calculated volume = 10.8 Å³ per atom; uncorrected formation energy = -1.27 eV/atom; DOS(E_F) = 5.0 states/eV/cell
1.0
-0.4228 3.9774 2.9371
-4.4836 1.5234 1.4837
-1.3644 -0.5492 4.7394
Al P O
1 1 6
direct
0.5000 0.5000 0.5000 Al
0.0000 0.0000 0.0000 P
0.7657 0.7657 0.2343 O
0.7657 0.2343 0.2343 O
0.2343 0.7657 0.7657 O
0.2343 0.2343 0.7657 O
0.2343 0.7657 0.2343 O
0.7657 0.2343 0.7657 O

AlP3O9 | the Alexandria database | PBE | optimized geometry; SG = I-43d, No. 220; VASP energy = -7.316 eV/atom; excess energy over the best structure of this formula in the dataset = 0.010 eV per atom; calculated volume = 13.0 Å³ per atom; uncorrected formation energy = -2.35 eV/atom; DOS(E_F) = 0.0 states/eV/cell
1.0
12.0649 0.0000 0.0000
-4.0216 11.3749 0.0000
-4.0216 -5.6875 9.8510
Al O P
8 72 24
direct
0.7883 0.0000 0.0000 Al
0.5000 0.7883 0.5000 Al
0.0000 0.5000 0.2883 Al
0.7117 0.7117 0.2117 Al
0.2883 0.0000 0.0000 Al
0.5000 0.2883 0.5000 Al
0.2117 0.2117 0.7117 Al
0.0000 0.5000 0.7883 Al
0.0850 0.2792 0.9895 O
0.7896 0.0955 0.5105 O
0.7104 0.2208 0.3059 O
0.4150 0.4045 0.1941 O
0.8059 0.7104 0.7208 O
0.6941 0.4150 0.9045 O
0.4895 0.0850 0.7792 O
0.0105 0.7896 0.5955 O
0.0955 0.0105 0.2896 O
0.2792 0.4895 0.5850 O
0.4045 0.6941 0.9150 O
0.2208 0.8059 0.2104 O
0.5955 0.2896 0.0105 O
0.7792 0.5850 0.4895 O
0.9045 0.9150 0.6941 O
0.7208 0.2104 0.8059 O
0.5850 0.9895 0.2792 O
0.2896 0.5105 0.0955 O
0.2104 0.3059 0.2208 O
0.9150 0.1941 0.4045 O
0.3059 0.7208 0.7104 O
0.1941 0.9045 0.4150 O
0.9895 0.7792 0.0850 O
0.5105 0.5955 0.7896 O
0.6204 0.8453 0.9293 O
0.4160 0.6911 0.5707 O
0.0840 0.6547 0.2752 O
0.8796 0.8089 0.2248 O
0.7752 0.0840 0.1547 O
0.7248 0.8796 0.3089 O
0.4293 0.6204 0.3453 O
0.0707 0.4160 0.1911 O
0.6911 0.0707 0.9160 O
0.8453 0.4293 0.1204 O
0.8089 0.7248 0.3796 O
0.6547 0.7752 0.5840 O
0.1911 0.9160 0.0707 O
0.3453 0.1204 0.4293 O
0.3089 0.3796 0.7248 O
0.1547 0.5840 0.7752 O
0.1204 0.9293 0.8453 O
0.9160 0.5707 0.6911 O
0.5840 0.2752 0.6547 O
0.3796 0.2248 0.8089 O
0.2752 0.1547 0.0840 O
0.2248 0.3089 0.8796 O
0.9293 0.3453 0.6204 O
0.5707 0.1911 0.4160 O
0.9566 0.1550 0.0734 O
0.5817 0.8832 0.4266 O
0.9183 0.3450 0.3016 O
0.5434 0.6168 0.1984 O
0.8016 0.9183 0.8450 O
0.6984 0.5434 0.1168 O
0.5734 0.9566 0.6550 O
0.9266 0.5817 0.3832 O
0.8832 0.9266 0.0817 O
0.1550 0.5734 0.4566 O
0.6168 0.6984 0.0434 O
0.3450 0.8016 0.4183 O
0.3832 0.0817 0.9266 O
0.6550 0.4566 0.5734 O
0.1168 0.0434 0.6984 O
0.8450 0.4183 0.8016 O
0.4566 0.0734 0.1550 O
0.0817 0.4266 0.8832 O
0.4183 0.3016 0.3450 O
0.0434 0.1984 0.6168 O
0.3016 0.8450 0.9183 O
0.1984 0.1168 0.5434 O
0.0734 0.6550 0.9566 O
0.4266 0.3832 0.5817 O
0.8309 0.2118 0.2821 P
0.4297 0.5488 0.2179 P
0.0703 0.2882 0.1191 P
0.6691 0.9512 0.3809 P
0.6191 0.0703 0.7882 P
0.8809 0.6691 0.4512 P
0.7821 0.8309 0.7118 P
0.7179 0.4297 0.0488 P
0.5488 0.7179 0.9297 P
0.2118 0.7821 0.3309 P
0.9512 0.8809 0.1691 P
0.2882 0.6191 0.5703 P
0.0488 0.9297 0.7179 P
0.7118 0.3309 0.7821 P
0.4512 0.1691 0.8809 P
0.7882 0.5703 0.6191 P
0.3309 0.2821 0.2118 P
0.9297 0.2179 0.5488 P
0.5703 0.1191 0.2882 P
0.1691 0.3809 0.9512 P
0.1191 0.7882 0.0703 P
0.3809 0.4512 0.6691 P
0.2821 0.7118 0.8309 P
0.2179 0.0488 0.4297 P

Al2PO | the Alexandria database | PBE | optimized geometry; SG = Fm-3m, No. 225; VASP energy = -4.829 eV/atom; excess energy over the best structure of this formula in the dataset = 0.731 eV per atom; calculated volume = 12.6 Å³ per atom; uncorrected formation energy = -0.37 eV/atom; DOS(E_F) = 0.9 states/eV/cell
1.0
0.0000 2.9301 2.9301
2.9301 0.0000 2.9301
2.9301 2.9301 0.0000
P Al O
1 2 1
direct
0.5000 0.5000 0.5000 P
0.2500 0.2500 0.2500 Al
0.7500 0.7500 0.7500 Al
0.0000 0.0000 0.0000 O

Al2P2O7 | the Alexandria database | PBE | optimized geometry; SG = C2/m, No. 12; VASP energy = -6.750 eV/atom; calculated volume = 14.5 Å³ per atom; uncorrected formation energy = -1.93 eV/atom; DOS(E_F) = 1.7 states/eV/cell
1.0
4.4215 0.2518 0.3283
-0.5190 6.3516 -0.8445
-0.5190 -2.4627 5.9154
Al P O
2 2 7
direct
0.5000 0.3671 0.6329 Al
0.5000 0.6329 0.3671 Al
0.0491 0.7604 0.7604 P
0.9509 0.2396 0.2396 P
0.2087 0.5916 0.8252 O
0.7913 0.1748 0.4084 O
0.7913 0.4084 0.1748 O
0.2087 0.8252 0.5916 O
0.2798 0.3501 0.3501 O
0.0000 0.0000 0.0000 O
0.7202 0.6499 0.6499 O

Question: Number 3 is which compound?
Answer: Al2PO